[1]
## Li2ScPOs (GGA-PBE)

Data for a geometry-optimized Li2ScPOs structure.

Properties
As for the final energy: -27.3 eV for the cell shown. The value obtained for the energy of formation is -0.092 eV/atom. As for the volume: 16.73 Å³ per atom.

Cell lengths 4.345, 4.345, 4.430 Å; angles 90.00, 90.00, 90.00 degrees
Space group P4/mmm (No. 123)
Inequivalent atoms, fractional coordinates:
Li 0.000 0.500 0.000 (multiplicity 2)
Sc 0.000 0.000 0.500 (multiplicity 1)
P 0.500 0.500 0.000 (multiplicity 1)
Os 0.500 0.500 0.500 (multiplicity 1)



[2]
## LiTa2POs (GGA-PBE)

Data for a geometry-optimized LiTa2POs structure.

Properties
As for the final energy: -36.7 eV for the cell shown. The value obtained for the energy of formation is 1.115 eV/atom. As for the volume: 20.51 Å³ per atom.

Cell lengths 4.808, 4.808, 4.438 Å; angles 90.00, 90.00, 90.00 degrees
Space group P4/mmm (No. 123)
Inequivalent atoms, fractional coordinates:
Li 0.000 0.000 0.000 (multiplicity 1)
Ta 0.000 0.500 0.500 (multiplicity 2)
P 0.500 0.500 0.000 (multiplicity 1)
Os 0.000 0.000 0.500 (multiplicity 1)